Below is an optimized crystal structure of La5Tb3Sb8, with properties calculated at the PBE level.

Unit cell a=9.0909 b=9.0909 c=22.2406 alpha=90.00 beta=90.00 gamma=120.00
Space group R-3m (No. 166, hexagonal axes)
Unique sites:
La  0.0000  0.0000  0.0000 (multiplicity 3)
La  0.0000  0.0000  0.5000 (multiplicity 3)
La  0.0000  0.5000  0.0000 (multiplicity 9)
Tb  0.0000  0.5000  0.5000 (multiplicity 9)
Sb  0.0000  0.0000  0.2460 (multiplicity 6)
Sb  0.0055  0.5028  0.7528 (multiplicity 18)

Computed properties:
DOS(E_F)   8.41 states/eV/cell
Uncorrected formation energy   -1.221 eV/atom
Crystal system   trigonal
Calculated density   6.714 g/cm3
VASP energy   -91.0 eV/f.u.